[1]
A relaxed ZrPt2Pb crystal. Source: Alexandria, functional PBEsol.

## Properties
Energy of formation: -0.4819 eV/atom
Crystal system: monoclinic

Lattice parameters (Å, degrees): 4.949 4.949 4.747 104.30 104.30 43.25
Positions (direct):
Zr1 0.000 0.000 0.000
Pt1 0.268 0.268 0.840
Pt2 0.520 0.520 0.579
Pb1 0.771 0.771 0.345

=====

[2]
A relaxed ZrPtPb2 crystal. Source: Alexandria, functional PBEsol.

## Properties
Energy of formation: 0.0173 eV/atom
ΔE to the lowest computed polymorph: 193 meV per atom
Crystal system: orthorhombic

Lattice parameters (Å, degrees): 3.240 3.814 6.850 90.00 90.00 90.00
Positions (direct):
Zr1 0.000 0.000 0.000
Pt1 0.000 0.000 0.500
Pb1 0.500 0.500 0.267
Pb2 0.500 0.500 0.733

=====

[3]
A relaxed ZrPt3Pb crystal. Source: Alexandria, functional PBEsol.

## Properties
Energy of formation: 1.0155 eV/atom
Crystal system: cubic

Lattice parameters (Å, degrees): 4.899 4.899 4.899 90.00 90.00 90.00
Positions (direct):
Zr1 0.000 0.000 0.000
Pt1 0.000 0.500 0.500
Pt2 0.500 0.000 0.500
Pt3 0.500 0.500 0.000
Pb1 0.500 0.500 0.500

=====

[4]
A relaxed ZrPtPb2 crystal. Source: Alexandria, functional PBEsol.

## Properties
Energy of formation: -0.0699 eV/atom
ΔE to the lowest computed polymorph: 106 meV per atom
Crystal system: orthorhombic

Lattice parameters (Å, degrees): 5.893 5.893 5.893 145.58 129.37 62.66
Positions (direct):
Zr1 0.000 0.000 0.000
Pt1 0.500 0.500 0.000
Pb1 0.280 0.780 0.500
Pb2 0.720 0.220 0.500

=====

The lowest energy of formation belongs to which entry?
ZrPt2Pb

=====

Which value of energy of formation does entry 1 give?
-0.4819 eV/atom